Below is FeRu2F11 after structural relaxation, with properties calculated at the PBE with a Hubbard U level.

Computed properties:
VASP energy: -4.9714 eV per atom
D(E_F): 13.2 states/eV per cell
Space-group type: No. 72

Cell lengths 8.1034, 8.1034, 8.1034 Å; angles 116.83, 110.13, 101.81 degrees
Closest atoms and distances in Å follow each position.
Positions (direct):
Fe  0.2500  0.2500  0.0000  4 F 2.07
Fe  0.7500  0.7500  0.0000  4 F 2.07
Ru  0.1486  0.6780  0.8266  6 F 1.84-2.05
Ru  0.3514  0.1780  0.5294  6 F 1.84-2.05
Ru  0.6486  0.8220  0.4706  6 F 1.84-2.05
Ru  0.8514  0.3220  0.1734  6 F 1.84-2.05
F  0.0000  0.5000  0.5000  2 Ru 2.05
F  0.0840  0.3217  0.1441  1 Ru 1.98, 1 Fe 2.07
F  0.1100  0.4372  0.8201  1 Ru 1.89
F  0.1171  0.9372  0.3271  1 Ru 1.89
F  0.1776  0.9399  0.8559  1 Ru 1.98, 1 Fe 2.07
F  0.2034  0.3225  0.5259  1 Ru 1.84
F  0.2966  0.8225  0.1192  1 Ru 1.84
F  0.3224  0.1783  0.7623  1 Ru 1.98, 1 Fe 2.07
F  0.3829  0.7101  0.8201  1 Ru 1.89
F  0.3900  0.2101  0.3271  1 Ru 1.89
F  0.4160  0.5601  0.2377  1 Ru 1.98, 1 Fe 2.07
F  0.5000  0.0000  0.5000  2 Ru 2.05
F  0.5840  0.4399  0.7623  1 Ru 1.98, 1 Fe 2.07
F  0.6100  0.7899  0.6729  1 Ru 1.89
F  0.6171  0.2899  0.1799  1 Ru 1.89
F  0.6776  0.8217  0.2377  1 Ru 1.98, 1 Fe 2.07
F  0.7034  0.1775  0.8808  1 Ru 1.84
F  0.7966  0.6775  0.4741  1 Ru 1.84
F  0.8224  0.0601  0.1441  1 Ru 1.98, 1 Fe 2.07
F  0.8829  0.0628  0.6729  1 Ru 1.89
F  0.8900  0.5628  0.1799  1 Ru 1.89
F  0.9160  0.6783  0.8559  1 Ru 1.98, 1 Fe 2.07



Below is FeRu2F after structural relaxation, with properties calculated at the PBE with a Hubbard U level.

Computed properties:
VASP energy: -5.9045 eV per atom
D(E_F): 7.5 states/eV per cell
Space-group type: No. 122

Cell lengths 5.4531, 5.4531, 5.4531 Å; angles 100.39, 100.39, 129.75 degrees
Closest atoms and distances in Å follow each position.
Positions (direct):
Fe  0.0000  0.0000  0.0000  2 F 2.32
Fe  0.7500  0.2500  0.5000  2 F 2.32
Ru  0.1824  0.6250  0.0574  2 F 2.28, 2 Ru 2.45
Ru  0.3750  0.4324  0.5574  2 F 2.28, 2 Ru 2.45
Ru  0.5676  0.1250  0.9426  2 F 2.28, 2 Ru 2.45
Ru  0.8750  0.8176  0.4426  2 F 2.28, 2 Ru 2.45
F  0.2500  0.7500  0.5000  4 Ru 2.28, 2 Fe 2.32
F  0.5000  0.5000  0.0000  4 Ru 2.28, 2 Fe 2.32



Below is FeRu2F after structural relaxation, with properties calculated at the PBE with a Hubbard U level.

Computed properties:
VASP energy: -5.9053 eV per atom
D(E_F): 5.5 states/eV per cell
Space-group type: No. 225

Cell lengths 4.2066, 4.2066, 4.2066 Å; angles 60.00, 60.00, 60.00 degrees
Closest atoms and distances in Å follow each position.
Positions (direct):
Fe  0.0000  0.0000  0.0000  8 Ru 2.58
Ru  0.2500  0.2500  0.2500  4 F 2.58, 4 Fe 2.58
Ru  0.7500  0.7500  0.7500  4 F 2.58, 4 Fe 2.58
F  0.5000  0.5000  0.5000  8 Ru 2.58



Below is Fe2Ru4F after structural relaxation, with properties calculated at the PBE with a Hubbard U level.

Computed properties:
VASP energy: -6.0790 eV per atom
D(E_F): 8.6 states/eV per cell
Space-group type: No. 139

Cell lengths 7.3238, 7.3238, 7.3238 Å; angles 148.41, 148.41, 45.29 degrees
Closest atoms and distances in Å follow each position.
Positions (direct):
Fe  0.1340  0.1340  0.0000  5 Ru 2.41-2.69
Fe  0.8660  0.8660  0.0000  5 Ru 2.41-2.69
Ru  0.0000  0.5000  0.5000  2 F 1.99
Ru  0.3120  0.3120  0.0000  1 Fe 2.41, 1 F 2.54
Ru  0.5000  0.0000  0.5000  2 F 1.99
Ru  0.6880  0.6880  0.0000  1 Fe 2.41, 1 F 2.54
F  0.5000  0.5000  0.0000  4 Ru 1.99



Below is ScFeRuF2 after structural relaxation, with properties calculated at the PBE with a Hubbard U level.

Computed properties:
VASP energy: -5.9026 eV per atom
D(E_F): 2.1 states/eV per cell
Space-group type: No. 123

Cell lengths 3.8403, 3.8403, 5.6659 Å; angles 90.00, 90.00, 90.00 degrees
Closest atoms and distances in Å follow each position.
Positions (direct):
Sc  0.0000  0.0000  0.0000  4 Ru 2.72
Fe  0.5000  0.5000  0.5000  4 F 1.92
Ru  0.5000  0.5000  0.0000  4 Sc 2.72, 2 Fe 2.83
F  0.0000  0.5000  0.5000  2 Fe 1.92
F  0.5000  0.0000  0.5000  2 Fe 1.92



Below is FeTcRuF2 after structural relaxation, with properties calculated at the PBE with a Hubbard U level.

Computed properties:
VASP energy: -5.5369 eV per atom
D(E_F): 3.2 states/eV per cell
Space-group type: No. 123

Cell lengths 3.9353, 3.9353, 5.6517 Å; angles 90.00, 90.00, 90.00 degrees
Closest atoms and distances in Å follow each position.
Positions (direct):
Fe  0.0000  0.0000  0.0000  4 Ru 2.78, 2 Tc 2.83
Tc  0.0000  0.0000  0.5000  4 F 1.97
Ru  0.5000  0.5000  0.0000  4 Fe 2.78
F  0.0000  0.5000  0.5000  2 Tc 1.97
F  0.5000  0.0000  0.5000  2 Tc 1.97